Entry 1:
Compound: Rb2SnBrCl6
Source: the Alexandria database
Functional: PBE
Structure: relaxed

```
data_Rb2SnBrCl6
_chemical_formula_sum 'Rb2 Sn1 Br1 Cl6'
_cell_length_a 6.698
_cell_length_b 7.058
_cell_length_c 8.202
_cell_angle_alpha 69.20
_cell_angle_beta 70.98
_cell_angle_gamma 82.43
_symmetry_space_group_name_H-M 'P -1'
_symmetry_Int_Tables_number 2
loop_
_symmetry_equiv_pos_as_xyz
'x,y,z'
'-x,-y,-z'
loop_
_atom_site_label
_atom_site_type_symbol
_atom_site_fract_x
_atom_site_fract_y
_atom_site_fract_z
Rb1 Rb 0.228 0.323 0.268
Sn1 Sn 0.000 0.000 0.000
Br1 Br 0.500 0.500 0.500
Cl1 Cl 0.086 0.843 0.293
Cl2 Cl 0.204 0.730 0.886
Cl3 Cl 0.326 0.202 0.875
```

Calculated values
- calculated density (kg/m³) = 2822
- E_tot (eV per atom) = -3.083
- E above lowest polymorph (kcal/mol of atoms) = 0.000

---

Entry 2:
Compound: Rb2SnBr5Cl
Source: the Alexandria database
Functional: PBE
Structure: relaxed

```
data_Rb2SnBr5Cl
_chemical_formula_sum 'Rb4 Sn2 Br10 Cl2'
_cell_length_a 7.694
_cell_length_b 7.694
_cell_length_c 10.931
_cell_angle_alpha 90.00
_cell_angle_beta 90.00
_cell_angle_gamma 90.00
_symmetry_space_group_name_H-M 'I 4 m m'
_symmetry_Int_Tables_number 107
_symmetry_space_group_name_Hall 'I 4 -2'
loop_
_atom_site_label
_atom_site_type_symbol
_atom_site_fract_x
_atom_site_fract_y
_atom_site_fract_z
Rb1 Rb 0.000 0.500 0.000
Sn1 Sn 0.000 0.000 0.249
Br1 Br 0.000 0.000 0.492
Br2 Br 0.243 0.243 0.249
Cl1 Cl 0.000 0.000 0.022
```

Calculated values
- calculated density (kg/m³) = 3719
- E_tot (eV per atom) = -3.034

---

Entry 3:
Compound: Rb3Sn2Br5Cl2
Source: the Alexandria database
Functional: PBE
Structure: relaxed

```
data_Rb3Sn2Br5Cl2
_chemical_formula_sum 'Rb6 Sn4 Br10 Cl4'
_cell_length_a 5.890
_cell_length_b 5.890
_cell_length_c 28.188
_cell_angle_alpha 90.00
_cell_angle_beta 90.00
_cell_angle_gamma 90.00
_symmetry_space_group_name_H-M 'I 4/m m m'
_symmetry_Int_Tables_number 139
_symmetry_space_group_name_Hall '-I 4 2'
loop_
_atom_site_label
_atom_site_type_symbol
_atom_site_fract_x
_atom_site_fract_y
_atom_site_fract_z
Rb1 Rb 0.000 0.000 0.000
Rb2 Rb 0.000 0.000 0.183
Sn1 Sn 0.000 0.000 0.392
Br1 Br 0.000 0.000 0.500
Br2 Br 0.000 0.500 0.105
Cl1 Cl 0.000 0.000 0.296
```

Calculated values
- calculated density (kg/m³) = 3275
- E_tot (eV per atom) = -3.232

---

Entry 4:
Compound: Rb2SrBr3Cl
Source: the Alexandria database
Functional: PBE
Structure: relaxed

```
data_Rb2SrBr3Cl
_chemical_formula_sum 'Rb4 Sr2 Br6 Cl2'
_cell_length_a 5.655
_cell_length_b 5.960
_cell_length_c 17.763
_cell_angle_alpha 90.00
_cell_angle_beta 90.00
_cell_angle_gamma 90.00
_symmetry_space_group_name_H-M 'I m m m'
_symmetry_Int_Tables_number 71
_symmetry_space_group_name_Hall '-I 2 2'
loop_
_atom_site_label
_atom_site_type_symbol
_atom_site_fract_x
_atom_site_fract_y
_atom_site_fract_z
Rb1 Rb 0.000 0.000 0.141
Sr1 Sr 0.000 0.000 0.500
Br1 Br 0.000 0.000 0.330
Br2 Br 0.000 0.500 0.500
Cl1 Cl 0.000 0.500 0.000
```

Calculated values
- calculated density (kg/m³) = 2961
- E_tot (eV per atom) = -3.449

---

Entry 5:
Compound: Rb2TaBr6Cl
Source: the Alexandria database
Functional: PBE
Structure: relaxed

```
data_Rb2TaBr6Cl
_chemical_formula_sum 'Rb8 Ta4 Br24 Cl4'
_cell_length_a 11.675
_cell_length_b 11.675
_cell_length_c 11.675
_cell_angle_alpha 90.00
_cell_angle_beta 90.00
_cell_angle_gamma 90.00
_symmetry_space_group_name_H-M 'F m -3 m'
_symmetry_Int_Tables_number 225
_symmetry_space_group_name_Hall '-F 4 2 3'
loop_
_atom_site_label
_atom_site_type_symbol
_atom_site_fract_x
_atom_site_fract_y
_atom_site_fract_z
Rb1 Rb 0.250 0.250 0.250
Ta1 Ta 0.000 0.000 0.000
Br1 Br 0.000 0.000 0.218
Cl1 Cl 0.000 0.000 0.500
```

Calculated values
- calculated density (kg/m³) = 3618
- E_tot (eV per atom) = -3.705
- E above lowest polymorph (kcal/mol of atoms) = 2.384

---

Entry 6:
Compound: Rb2TaBr2Cl4
Source: the Alexandria database
Functional: PBE
Structure: relaxed

```
data_Rb2TaBr2Cl4
_chemical_formula_sum 'Rb4 Ta2 Br4 Cl8'
_cell_length_a 13.006
_cell_length_b 7.381
_cell_length_c 7.369
_cell_angle_alpha 90.00
_cell_angle_beta 124.38
_cell_angle_gamma 90.00
_symmetry_space_group_name_H-M 'C 1 2/m 1'
_symmetry_Int_Tables_number 12
loop_
_symmetry_equiv_pos_as_xyz
'x,y,z'
'-x,-y,-z'
'-x,y,-z'
'x,-y,z'
'x+1/2,y+1/2,z'
'-x+1/2,-y+1/2,-z'
'-x+1/2,y+1/2,-z'
'x+1/2,-y+1/2,z'
loop_
_atom_site_label
_atom_site_type_symbol
_atom_site_fract_x
_atom_site_fract_y
_atom_site_fract_z
Rb1 Rb 0.249 0.000 0.246
Ta1 Ta 0.000 0.500 0.000
Br1 Br 0.243 0.500 0.249
Cl1 Cl 0.003 0.269 0.772
```

Calculated values
- calculated density (kg/m³) = 3717
- E_tot (eV per atom) = -4.242

---

Entry 7:
Compound: Rb2TaBrCl6
Source: the Alexandria database
Functional: PBE
Structure: relaxed

```
data_Rb2TaBrCl6
_chemical_formula_sum 'Rb8 Ta4 Br4 Cl24'
_cell_length_a 11.501
_cell_length_b 11.501
_cell_length_c 11.501
_cell_angle_alpha 90.00
_cell_angle_beta 90.00
_cell_angle_gamma 90.00
_symmetry_space_group_name_H-M 'F m -3 m'
_symmetry_Int_Tables_number 225
_symmetry_space_group_name_Hall '-F 4 2 3'
loop_
_atom_site_label
_atom_site_type_symbol
_atom_site_fract_x
_atom_site_fract_y
_atom_site_fract_z
Rb1 Rb 0.250 0.250 0.250
Ta1 Ta 0.000 0.000 0.000
Br1 Br 0.000 0.000 0.500
Cl1 Cl 0.000 0.000 0.207
```

Calculated values
- calculated density (kg/m³) = 2814
- E_tot (eV per atom) = -4.072
- E above lowest polymorph (kcal/mol of atoms) = 3.016

---

Entry 8:
Compound: Rb2TaBrCl6
Source: the Alexandria database
Functional: PBE
Structure: relaxed

```
data_Rb2TaBrCl6
_chemical_formula_sum 'Rb2 Ta1 Br1 Cl6'
_cell_length_a 6.710
_cell_length_b 7.308
_cell_length_c 9.876
_cell_angle_alpha 102.91
_cell_angle_beta 92.73
_cell_angle_gamma 107.30
_symmetry_space_group_name_H-M 'P 1'
_symmetry_Int_Tables_number 1
loop_
_symmetry_equiv_pos_as_xyz
'x,y,z'
loop_
_atom_site_label
_atom_site_type_symbol
_atom_site_fract_x
_atom_site_fract_y
_atom_site_fract_z
Rb1 Rb 0.000 0.000 0.000
Rb2 Rb 0.400 0.796 0.589
Ta1 Ta 0.037 0.165 0.473
Br1 Br 0.477 0.944 0.931
Cl1 Cl 0.128 0.906 0.321
Cl2 Cl 0.143 0.369 0.315
Cl3 Cl 0.382 0.288 0.593
Cl4 Cl 0.695 0.035 0.354
Cl5 Cl 0.939 0.954 0.631
Cl6 Cl 0.948 0.417 0.626
```

Calculated values
- calculated density (kg/m³) = 2393
- E_tot (eV per atom) = -4.203
- E above lowest polymorph (kcal/mol of atoms) = 0.000

---

Entry 9:
Compound: Rb2TaBr6Cl
Source: the Alexandria database
Functional: PBE
Structure: relaxed

```
data_Rb2TaBr6Cl
_chemical_formula_sum 'Rb2 Ta1 Br6 Cl1'
_cell_length_a 6.884
_cell_length_b 7.459
_cell_length_c 8.165
_cell_angle_alpha 75.56
_cell_angle_beta 81.76
_cell_angle_gamma 84.87
_symmetry_space_group_name_H-M 'P 1'
_symmetry_Int_Tables_number 1
loop_
_symmetry_equiv_pos_as_xyz
'x,y,z'
loop_
_atom_site_label
_atom_site_type_symbol
_atom_site_fract_x
_atom_site_fract_y
_atom_site_fract_z
Rb1 Rb 0.000 0.000 0.000
Rb2 Rb 0.476 0.694 0.604
Ta1 Ta 0.237 0.348 0.302
Br1 Br 0.046 0.619 0.404
Br2 Br 0.128 0.474 0.006
Br3 Br 0.345 0.221 0.598
Br4 Br 0.428 0.077 0.201
Br5 Br 0.535 0.535 0.210
Br6 Br 0.938 0.161 0.394
Cl1 Cl 0.735 0.849 0.803
```

Calculated values
- calculated density (kg/m³) = 3587
- E_tot (eV per atom) = -3.809
- E above lowest polymorph (kcal/mol of atoms) = 0.000

---

Entry 10:
Compound: Rb2TaBr4Cl2
Source: the Alexandria database
Functional: PBE
Structure: relaxed

```
data_Rb2TaBr4Cl2
_chemical_formula_sum 'Rb4 Ta2 Br8 Cl4'
_cell_length_a 12.542
_cell_length_b 7.660
_cell_length_c 6.434
_cell_angle_alpha 90.00
_cell_angle_beta 95.36
_cell_angle_gamma 90.00
_symmetry_space_group_name_H-M 'C 1 2/m 1'
_symmetry_Int_Tables_number 12
loop_
_symmetry_equiv_pos_as_xyz
'x,y,z'
'-x,-y,-z'
'-x,y,-z'
'x,-y,z'
'x+1/2,y+1/2,z'
'-x+1/2,-y+1/2,-z'
'-x+1/2,y+1/2,-z'
'x+1/2,-y+1/2,z'
loop_
_atom_site_label
_atom_site_type_symbol
_atom_site_fract_x
_atom_site_fract_y
_atom_site_fract_z
Rb1 Rb 0.164 0.000 0.251
Ta1 Ta 0.000 0.500 0.000
Br1 Br 0.090 0.258 0.791
Cl1 Cl 0.151 0.500 0.254
```

Calculated values
- calculated density (kg/m³) = 4006
- E_tot (eV per atom) = -4.069

---

Entry 11:
Compound: Rb2TaBr5Cl
Source: the Alexandria database
Functional: PBE
Structure: relaxed

```
data_Rb2TaBr5Cl
_chemical_formula_sum 'Rb4 Ta2 Br10 Cl2'
_cell_length_a 7.714
_cell_length_b 7.714
_cell_length_c 10.520
_cell_angle_alpha 90.00
_cell_angle_beta 90.00
_cell_angle_gamma 90.00
_symmetry_space_group_name_H-M 'I 4 m m'
_symmetry_Int_Tables_number 107
_symmetry_space_group_name_Hall 'I 4 -2'
loop_
_atom_site_label
_atom_site_type_symbol
_atom_site_fract_x
_atom_site_fract_y
_atom_site_fract_z
Rb1 Rb 0.000 0.500 0.000
Ta1 Ta 0.000 0.000 0.249
Br1 Br 0.000 0.000 0.493
Br2 Br 0.238 0.238 0.250
Cl1 Cl 0.000 0.000 0.021
```

Calculated values
- calculated density (kg/m³) = 4174
- E_tot (eV per atom) = -4.011

---

Entry 12:
Compound: Rb2TcBr6Cl
Source: the Alexandria database
Functional: PBE
Structure: relaxed

```
data_Rb2TcBr6Cl
_chemical_formula_sum 'Rb2 Tc1 Br6 Cl1'
_cell_length_a 6.647
_cell_length_b 7.413
_cell_length_c 8.082
_cell_angle_alpha 70.79
_cell_angle_beta 79.51
_cell_angle_gamma 84.41
_symmetry_space_group_name_H-M 'P 1'
_symmetry_Int_Tables_number 1
loop_
_symmetry_equiv_pos_as_xyz
'x,y,z'
loop_
_atom_site_label
_atom_site_type_symbol
_atom_site_fract_x
_atom_site_fract_y
_atom_site_fract_z
Rb1 Rb 0.000 0.000 0.000
Rb2 Rb 0.478 0.678 0.589
Tc1 Tc 0.237 0.338 0.292
Br1 Br 0.049 0.604 0.397
Br2 Br 0.124 0.484 0.983
Br3 Br 0.357 0.192 0.588
Br4 Br 0.426 0.066 0.189
Br5 Br 0.541 0.539 0.162
Br6 Br 0.914 0.172 0.385
Cl1 Cl 0.859 0.870 0.695
```

Calculated values
- calculated density (kg/m³) = 3523
- E_tot (eV per atom) = -3.312

---

ΔE_f (raw) / eV/f.u.: -12.14; -11.16; -15.82; -13.66; -11.38; -13.66; -14.18; -15.48; -12.42; -12.45; -12.10; -8.93